[1]
Density functional theory data (GGA-PBE) for a geometry-optimized K2DyCuO4 structure.

a b c (Å): 5.9276 5.5413 5.5413
angles (deg): 73.38 57.67 57.67
Closest atoms and distances in Å follow each position.
Element x y z (fractional)
O1 0.5711 0.0000 0.3050  1 Cu 1.95, 1 Dy 2.17
Cu1 0.5000 0.0000 0.0000  4 O 1.95
O2 0.1239 0.3050 0.0000  1 Cu 1.95, 1 Dy 2.17
Dy1 0.0000 0.0000 0.0000  4 O 2.17
O3 0.8761 0.0000 0.6950  1 Cu 1.95, 1 Dy 2.17
K1 0.0000 0.5000 0.5000  8 O 2.84-3.00, 2 K 2.96
O4 0.4289 0.6950 0.0000  1 Cu 1.95, 1 Dy 2.17
K2 0.5000 0.5000 0.5000  8 O 2.84-3.00, 2 K 2.96

Formation energy (no corrections): -1525 meV per atom

[2]
Density functional theory data (GGA-PBE) for a geometry-optimized KDyCu2O4 structure.

a b c (Å): 3.8809 3.8809 7.1469
angles (deg): 90.00 90.00 90.00
Closest atoms and distances in Å follow each position.
Element x y z (fractional)
O1 0.5000 0.0000 0.1998  2 Cu 1.95
Dy1 0.0000 0.0000 0.0000  8 O 2.41
O2 0.0000 0.5000 0.8002  2 Cu 1.95
O3 0.0000 0.5000 0.1998  2 Cu 1.95
Cu1 0.5000 0.5000 0.7800  4 O 1.95
O4 0.5000 0.0000 0.8002  2 Cu 1.95
K1 0.0000 0.0000 0.5000  8 O 2.89
Cu2 0.5000 0.5000 0.2200  4 O 1.95

Formation energy (no corrections): -1679 meV per atom

[3]
Density functional theory data (GGA-PBE) for a geometry-optimized KDyCuS2 structure.

a b c (Å): 4.6080 7.4064 7.8240
angles (deg): 99.95 90.00 90.00
Closest atoms and distances in Å follow each position.
Element x y z (fractional)
K1 0.8341 0.5000 0.2500  6 S 3.26-3.35
S1 0.6804 0.7691 0.9645  1 Cu 2.24
S2 0.3196 0.7691 0.4645  1 Cu 2.24
S3 0.3196 0.2309 0.0355  1 Cu 2.24
S4 0.6804 0.2309 0.5355  1 Cu 2.24
K2 0.1659 0.5000 0.7500  6 S 3.26-3.35
Cu1 0.0000 0.0000 0.0000  2 S 2.24
Dy1 0.4925 0.0000 0.2500  4 S 2.71, 2 Cu 3.00
Cu2 0.0000 0.0000 0.5000  2 S 2.24
Dy2 0.5075 0.0000 0.7500  4 S 2.71, 2 Cu 3.00

Formation energy (no corrections): -1103 meV per atom

[4]
Density functional theory data (GGA-PBE) for a geometry-optimized KDy2CuS4 structure.

a b c (Å): 3.9562 7.0533 13.7342
angles (deg): 90.00 90.00 106.29
Closest atoms and distances in Å follow each position.
Element x y z (fractional)
Dy1 0.3657 0.7315 0.9369  6 S 2.71-2.82
S1 0.2625 0.5251 0.1109  1 Cu 2.34
Dy2 0.3657 0.7315 0.5631  6 S 2.71-2.82
S2 0.7375 0.4749 0.6109  1 Cu 2.34
Cu1 0.1626 0.3251 0.2500  4 S 2.34-2.35
S3 0.2625 0.5251 0.3891  1 Cu 2.34
S4 0.5690 0.1379 0.2500  2 Cu 2.35
S5 0.0000 0.0000 0.5000  4 Dy 2.82
S6 0.4310 0.8621 0.7500  2 Cu 2.35
S7 0.7375 0.4749 0.8891  1 Cu 2.34
K1 0.1092 0.2184 0.7500  6 S 3.12-3.25
Dy3 0.6343 0.2685 0.4369  6 S 2.71-2.82
K2 0.8908 0.7816 0.2500  6 S 3.12-3.25
Cu2 0.8374 0.6749 0.7500  4 S 2.34-2.35
S8 0.0000 0.0000 0.0000  4 Dy 2.82
Dy4 0.6343 0.2685 0.0631  6 S 2.71-2.82

Formation energy (no corrections): -1667 meV per atom

[5]
Density functional theory data (GGA-PBE) for a geometry-optimized KDy2Cu2S4 structure.

a b c (Å): 3.6338 7.6217 7.4664
angles (deg): 115.96 90.00 103.79
Closest atoms and distances in Å follow each position.
Element x y z (fractional)
S1 0.2174 0.4348 0.2686  2 Cu 2.45
S2 0.7826 0.5652 0.7314  2 Cu 2.45
Dy1 0.8733 0.7466 0.4410  7 S 2.76-3.04, 1 Cu 3.02
S3 0.4591 0.9182 0.2748  1 Cu 2.38
S4 0.5409 0.0818 0.7252  1 Cu 2.38
Cu1 0.6931 0.3861 0.0307  3 S 2.38-2.45, 2 Cu 2.65
Dy2 0.1267 0.2534 0.5590  7 S 2.76-3.04, 1 Cu 3.02
Cu2 0.3069 0.6139 0.9693  3 S 2.38-2.45, 2 Cu 2.65
K1 0.0000 0.0000 0.0000  6 S 2.93-3.00

Formation energy (no corrections): -1145 meV per atom

[6]
Density functional theory data (GGA-PBE) for a geometry-optimized KDy2CuSe4 structure.

a b c (Å): 4.1146 7.3378 14.3781
angles (deg): 90.00 90.00 106.28
Closest atoms and distances in Å follow each position.
Element x y z (fractional)
Se1 0.7352 0.4703 0.6117  1 Cu 2.48
Dy1 0.6342 0.2685 0.4351  6 Se 2.84-2.95
Se2 0.4361 0.8721 0.7500  2 Cu 2.46
Se3 0.0000 0.0000 0.5000  4 Dy 2.95
Se4 0.0000 0.0000 0.0000  4 Dy 2.95
Dy2 0.3658 0.7315 0.9351  6 Se 2.84-2.95
Dy3 0.6342 0.2685 0.0649  6 Se 2.84-2.95
K1 0.1126 0.2252 0.7500  6 Se 3.23-3.34
Se5 0.2648 0.5297 0.3883  1 Cu 2.48
Se6 0.2648 0.5297 0.1117  1 Cu 2.48
Se7 0.5639 0.1279 0.2500  2 Cu 2.46
Se8 0.7352 0.4703 0.8883  1 Cu 2.48
K2 0.8874 0.7748 0.2500  6 Se 3.23-3.34
Cu1 0.1599 0.3198 0.2500  4 Se 2.46-2.48
Cu2 0.8401 0.6802 0.7500  4 Se 2.46-2.48
Dy4 0.3658 0.7315 0.5649  6 Se 2.84-2.95

Formation energy (no corrections): -1516 meV per atom

[7]
Density functional theory data (GGA-PBE) for a geometry-optimized K2Dy4Cu4Se9 structure.

a b c (Å): 7.4694 7.4694 16.5184
angles (deg): 71.47 71.47 32.03
Closest atoms and distances in Å follow each position.
Element x y z (fractional)
Dy1 0.3452 0.3452 0.5564  6 Se 2.80-2.95
Cu1 0.2401 0.2401 0.2709  4 Se 2.46-2.62
Dy2 0.2314 0.2314 0.8969  6 Se 2.84-2.93
Se1 0.6069 0.6069 0.8704  3 Cu 2.50-2.62
Dy3 0.7686 0.7686 0.1031  6 Se 2.84-2.93
Cu2 0.4240 0.4240 0.9717  4 Se 2.47-2.61, 1 Cu 2.64
K1 0.9672 0.9672 0.2696  7 Se 3.29-3.51
K2 0.0328 0.0328 0.7304  7 Se 3.29-3.51
Cu3 0.7599 0.7599 0.7291  4 Se 2.46-2.62
Se2 0.3553 0.3553 0.7230  2 Cu 2.46
Se3 0.3002 0.3002 0.3960  1 Cu 2.49
Se4 0.8643 0.8643 0.9223  2 Cu 2.47
Se5 0.6998 0.6998 0.6040  1 Cu 2.49
Cu4 0.5760 0.5760 0.0283  4 Se 2.47-2.61, 1 Cu 2.64
Se6 0.3931 0.3931 0.1296  3 Cu 2.50-2.62
Se7 0.1357 0.1357 0.0777  2 Cu 2.47
Se8 0.6447 0.6447 0.2770  2 Cu 2.46
Dy4 0.6548 0.6548 0.4436  6 Se 2.80-2.95
Se9 0.0000 0.0000 0.5000  4 Dy 2.95

Formation energy (no corrections): -1295 meV per atom

[8]
Density functional theory data (GGA-PBE) for a geometry-optimized LaDyCu3 structure.

a b c (Å): 3.8022 4.3662 12.9198
angles (deg): 90.00 98.46 90.00
Closest atoms and distances in Å follow each position.
Element x y z (fractional)
Cu1 0.3781 0.2500 0.7561  3 Cu 2.50-2.58
Cu2 0.6757 0.2500 0.3514  2 Cu 2.58
Cu3 0.6219 0.7500 0.2439  3 Cu 2.50-2.58
Dy1 0.2057 0.7500 0.4113  7 Cu 2.86-3.03
La1 0.0734 0.2500 0.1468  12 Cu 3.14-3.23
Cu4 0.3243 0.7500 0.6486  2 Cu 2.58
Cu5 0.5243 0.7500 0.0485  3 Cu 2.50-2.51
Dy2 0.7943 0.2500 0.5887  7 Cu 2.86-3.03
La2 0.9266 0.7500 0.8532  12 Cu 3.14-3.23
Cu6 0.4757 0.2500 0.9515  3 Cu 2.50-2.51

DFT formation energy: -0.228 eV/atom

[9]
Density functional theory data (GGA-PBE) for a geometry-optimized La3DyCu4 structure.

a b c (Å): 3.5943 3.5943 14.5113
angles (deg): 90.00 90.00 90.00
Closest atoms and distances in Å follow each position.
Element x y z (fractional)
Cu1 0.0000 0.0000 0.8929  4 Dy 2.98, 1 Cu 3.11, 4 La 3.23
Cu2 0.0000 0.0000 0.6276  8 La 3.14-3.15
La1 0.5000 0.5000 0.7559  8 Cu 3.15-3.23
La2 0.5000 0.5000 0.2441  8 Cu 3.15-3.23
Cu3 0.0000 0.0000 0.1071  4 Dy 2.98, 1 Cu 3.11, 4 La 3.23
La3 0.5000 0.5000 0.5000  8 Cu 3.14
Cu4 0.0000 0.0000 0.3724  8 La 3.14-3.15
Dy1 0.5000 0.5000 0.0000  8 Cu 2.98

DFT formation energy: -0.162 eV/atom

[10]
Density functional theory data (GGA-PBE) for a geometry-optimized La2DyCu structure.

a b c (Å): 3.7056 3.7056 8.6181
angles (deg): 90.00 90.00 90.00
Closest atoms and distances in Å follow each position.
Element x y z (fractional)
Dy1 0.5000 0.5000 0.5000  8 La 3.66, 4 Dy 3.71
Cu1 0.5000 0.5000 0.0000  8 La 3.16
La1 0.0000 0.0000 0.7958  4 Cu 3.16, 1 La 3.52
La2 0.0000 0.0000 0.2042  4 Cu 3.16, 1 La 3.52

DFT formation energy: -0.036 eV/atom

[11]
Density functional theory data (GGA-PBE) for a geometry-optimized La2DyCu structure.

a b c (Å): 6.5864 7.1227 10.2108
angles (deg): 90.00 90.00 90.00
Closest atoms and distances in Å follow each position.
Element x y z (fractional)
Dy1 0.6493 0.5303 0.2500  2 Cu 2.84-2.93
La1 0.8248 0.3029 0.9404  2 Cu 2.99-3.00
La2 0.6752 0.8029 0.9404  2 Cu 2.99-3.00
La3 0.3248 0.1971 0.0596  2 Cu 2.99-3.00
Cu1 0.4448 0.8962 0.2500  2 Dy 2.84-2.93, 4 La 2.99-3.00
La4 0.1752 0.6971 0.0596  2 Cu 2.99-3.00
Dy2 0.1493 0.9697 0.7500  2 Cu 2.84-2.93
Cu2 0.9448 0.6038 0.7500  2 Dy 2.84-2.93, 4 La 2.99-3.00
Dy3 0.3507 0.4697 0.7500  2 Cu 2.84-2.93
Dy4 0.8507 0.0303 0.2500  2 Cu 2.84-2.93
Cu3 0.0552 0.3962 0.2500  2 Dy 2.84-2.93, 4 La 2.99-3.00
La5 0.3248 0.1971 0.4404  2 Cu 2.99-3.00
La6 0.8248 0.3029 0.5596  2 Cu 2.99-3.00
Cu4 0.5552 0.1038 0.7500  2 Dy 2.84-2.93, 4 La 2.99-3.00
La7 0.1752 0.6971 0.4404  2 Cu 2.99-3.00
La8 0.6752 0.8029 0.5596  2 Cu 2.99-3.00

DFT formation energy: -0.064 eV/atom

[12]
Density functional theory data (GGA-PBE) for a geometry-optimized LaDy5Cu4 structure.

a b c (Å): 3.4691 3.4691 19.4646
angles (deg): 90.00 90.00 90.00
Closest atoms and distances in Å follow each position.
Element x y z (fractional)
Cu1 0.0000 0.0000 0.4101  8 Dy 3.01
Dy1 0.5000 0.5000 0.3202  8 Cu 3.01-3.02
Dy2 0.5000 0.5000 0.5000  8 Cu 3.01
Dy3 0.5000 0.5000 0.6798  8 Cu 3.01-3.02
Cu2 0.0000 0.0000 0.2296  8 Dy 2.97-3.02
Dy4 0.5000 0.5000 0.1436  4 Cu 2.97
Cu3 0.0000 0.0000 0.5899  8 Dy 3.01
Cu4 0.0000 0.0000 0.7704  8 Dy 2.97-3.02
La1 0.0000 0.0000 0.0000  4 La 3.47, 8 Dy 3.72
Dy5 0.5000 0.5000 0.8564  4 Cu 2.97

DFT formation energy: -0.196 eV/atom

[13]
Density functional theory data (GGA-PBE) for a geometry-optimized LaDy2Cu structure.

a b c (Å): 3.7228 3.7228 10.0257
angles (deg): 79.30 79.30 60.00
Closest atoms and distances in Å follow each position.
Element x y z (fractional)
La1 0.5015 0.5015 0.4956  6 Dy 3.67-3.75, 6 La 3.72
Dy1 0.2693 0.2693 0.1922  3 Cu 2.84
Cu1 0.6657 0.6657 0.0029  6 Dy 2.84-2.87
Dy2 0.0636 0.0636 0.8093  3 Cu 2.87

DFT formation energy: 0.037 eV/atom

[14]
Density functional theory data (GGA-PBE) for a geometry-optimized LaDyCu4 structure.

a b c (Å): 3.9417 3.9417 8.2069
angles (deg): 103.90 103.90 90.00
Closest atoms and distances in Å follow each position.
Element x y z (fractional)
Cu1 0.5780 0.5780 0.1559  3 Cu 2.40-2.41
Cu2 0.8329 0.3329 0.6658  3 Cu 2.40-2.56
Cu3 0.6671 0.1671 0.3342  3 Cu 2.40-2.56
Cu4 0.4220 0.4220 0.8441  3 Cu 2.40-2.41
Dy1 0.0000 0.0000 0.0000  12 Cu 3.04-3.25
La1 0.2500 0.7500 0.5000  12 Cu 3.07-3.31

DFT formation energy: -0.211 eV/atom

[15]
Density functional theory data (GGA-PBE) for a geometry-optimized La2DyCu structure.

a b c (Å): 3.5633 3.5633 11.2437
angles (deg): 80.88 80.88 60.00
Closest atoms and distances in Å follow each position.
Element x y z (fractional)
Cu1 0.5000 0.5000 0.5000  6 La 2.99
Dy1 0.0000 0.0000 0.0000  2 La 3.36, 6 Dy 3.56
La1 0.1013 0.1013 0.6961  3 Cu 2.99
La2 0.8987 0.8987 0.3039  3 Cu 2.99

DFT formation energy: 0.235 eV/atom

[16]
Density functional theory data (GGA-PBE) for a geometry-optimized LaDy3Cu2 structure.

a b c (Å): 3.5046 3.5046 12.3663
angles (deg): 90.00 90.00 90.00
Closest atoms and distances in Å follow each position.
Element x y z (fractional)
Dy1 0.0000 0.0000 0.0000  8 Cu 3.03
Dy2 0.0000 0.0000 0.7256  4 Cu 2.98
Dy3 0.0000 0.0000 0.2744  4 Cu 2.98
La1 0.5000 0.5000 0.5000  4 La 3.50, 8 Dy 3.73
Cu1 0.5000 0.5000 0.8591  8 Dy 2.98-3.03
Cu2 0.5000 0.5000 0.1409  8 Dy 2.98-3.03

DFT formation energy: -0.151 eV/atom

[17]
Density functional theory data (GGA-PBE) for a geometry-optimized LaDyCu2 structure.

a b c (Å): 3.5362 3.5362 7.1976
angles (deg): 90.00 90.00 90.00
Closest atoms and distances in Å follow each position.
Element x y z (fractional)
La1 0.5000 0.5000 0.5000  8 Cu 3.20, 4 La 3.54
Dy1 0.5000 0.5000 0.0000  8 Cu 2.97
Cu1 0.0000 0.0000 0.2217  4 Dy 2.97, 1 Cu 3.19, 4 La 3.20
Cu2 0.0000 0.0000 0.7783  4 Dy 2.97, 1 Cu 3.19, 4 La 3.20

DFT formation energy: -0.196 eV/atom

[18]
Density functional theory data (GGA-PBE) for a geometry-optimized La5DyCu6 structure.

a b c (Å): 5.1312 7.2187 8.8917
angles (deg): 66.06 73.23 90.00
Closest atoms and distances in Å follow each position.
Element x y z (fractional)
La1 0.3335 0.3350 0.3298  8 Cu 3.19-3.24
La2 0.3288 0.8302 0.3395  8 Cu 3.07-3.25
Cu1 0.1620 0.3967 0.6809  1 Dy 3.00, 7 La 3.08-3.24
Cu2 0.5000 0.7776 0.9999  2 Dy 3.03, 6 La 3.07-3.26, 1 Cu 3.21
La3 0.0000 0.5000 0.0000  8 Cu 3.11-3.26
Cu3 0.5000 0.2224 0.0001  2 Dy 3.03, 6 La 3.07-3.26, 1 Cu 3.21
Cu4 0.8381 0.0776 0.3187  1 Dy 2.99, 7 La 3.08-3.25
Dy1 0.0000 0.0000 0.0000  8 Cu 2.99-3.03
Cu5 0.1619 0.9224 0.6813  1 Dy 2.99, 7 La 3.08-3.25
Cu6 0.8380 0.6033 0.3191  1 Dy 3.00, 7 La 3.08-3.24
La4 0.6665 0.6650 0.6702  8 Cu 3.19-3.24
La5 0.6712 0.1698 0.6605  8 Cu 3.07-3.25

DFT formation energy: -0.150 eV/atom

[19]
Density functional theory data (GGA-PBE) for a geometry-optimized LaDyCu4 structure.

a b c (Å): 5.3432 5.3432 5.3432
angles (deg): 60.00 60.00 60.00
Closest atoms and distances in Å follow each position.
Element x y z (fractional)
Cu1 0.6235 0.1294 0.6235  6 Cu 2.64-2.70
Cu2 0.6235 0.6235 0.1294  6 Cu 2.64-2.70
Cu3 0.6235 0.6235 0.6235  6 Cu 2.64-2.70
La1 0.0000 0.0000 0.0000  12 Cu 3.14, 4 Dy 3.27
Dy1 0.2500 0.2500 0.2500  12 Cu 3.13, 4 La 3.27
Cu4 0.1294 0.6235 0.6235  6 Cu 2.64-2.70

DFT formation energy: -0.108 eV/atom

[20]
Density functional theory data (GGA-PBE) for a geometry-optimized La2DyCu structure.

a b c (Å): 3.7546 3.7546 10.2715
angles (deg): 79.47 79.47 60.00
Closest atoms and distances in Å follow each position.
Element x y z (fractional)
Dy1 0.4991 0.4991 0.5026  6 La 3.61-3.66, 6 Dy 3.75
Cu1 0.6674 0.6674 0.9979  6 La 3.01-3.03
La1 0.0700 0.0700 0.7901  3 Cu 3.01
La2 0.2636 0.2636 0.2093  3 Cu 3.03

DFT formation energy: 0.063 eV/atom

[21]
Density functional theory data (GGA-PBE) for a geometry-optimized LaDy2Cu structure.

a b c (Å): 3.5396 3.5396 8.8003
angles (deg): 90.00 90.00 90.00
Closest atoms and distances in Å follow each position.
Element x y z (fractional)
Dy1 0.0000 0.0000 0.8118  4 Cu 3.00, 1 Dy 3.31
Cu1 0.5000 0.5000 0.0000  8 Dy 3.00
La1 0.5000 0.5000 0.5000  4 La 3.54, 8 Dy 3.71
Dy2 0.0000 0.0000 0.1882  4 Cu 3.00, 1 Dy 3.31

DFT formation energy: -0.095 eV/atom

[22]
Density functional theory data (GGA-PBE) for a geometry-optimized La2DyCu9 structure.

a b c (Å): 5.2115 5.2115 9.0635
angles (deg): 73.29 73.29 60.00
Closest atoms and distances in Å follow each position.
Element x y z (fractional)
La1 0.1421 0.1421 0.5737  12 Cu 3.07-3.27, 3 La 3.26
Cu1 0.9159 0.4243 0.2355  7 Cu 2.49-2.70
Cu2 0.5757 0.0841 0.7645  7 Cu 2.49-2.70
Cu3 0.4243 0.9159 0.2355  7 Cu 2.49-2.70
Cu4 0.3315 0.3315 0.0056  6 Cu 2.49-2.54
Dy1 0.0000 0.0000 0.0000  18 Cu 3.01-3.29
Cu5 0.4243 0.4243 0.2355  7 Cu 2.49-2.70
Cu6 0.5000 0.5000 0.5000  6 Cu 2.70
Cu7 0.6685 0.6685 0.9944  6 Cu 2.49-2.54
La2 0.8579 0.8579 0.4263  12 Cu 3.07-3.27, 3 La 3.26
Cu8 0.5757 0.5757 0.7645  7 Cu 2.49-2.70
Cu9 0.0841 0.5757 0.7645  7 Cu 2.49-2.70

DFT formation energy: -0.144 eV/atom

[23]
Density functional theory data (GGA-PBE) for a geometry-optimized La2DyCu6 structure.

a b c (Å): 3.7574 7.4474 7.4474
angles (deg): 120.00 90.00 90.00
Closest atoms and distances in Å follow each position.
Element x y z (fractional)
Cu1 0.5000 0.6705 0.6705  3 Cu 2.45-2.54
Cu2 0.5000 0.3295 0.0000  3 Cu 2.45-2.54
Cu3 0.5000 0.6705 0.0000  3 Cu 2.45-2.54
La1 0.0000 0.3333 0.6667  12 Cu 3.12
Cu4 0.5000 0.0000 0.3295  3 Cu 2.45-2.54
Cu5 0.5000 0.0000 0.6705  3 Cu 2.45-2.54
Dy1 0.0000 0.0000 0.0000  12 Cu 3.09
Cu6 0.5000 0.3295 0.3295  3 Cu 2.45-2.54
La2 0.0000 0.6667 0.3333  12 Cu 3.12

DFT formation energy: -0.226 eV/atom

no.,calculated volume (Å³ per cell),magnetic moment (μB per cell)
1,129.9,2.1
2,107.6,0.0
3,263.0,0.0
4,367.9,0.0
5,179.3,0.0
6,416.7,0.0
7,461.3,0.0
8,212.1,0.0
9,187.5,0.0
10,118.3,0.0
11,479.0,0.0
12,234.2,0.0
13,117.5,0.0
14,119.9,0.0
15,121.5,0.0
16,151.9,0.0
17,90.0,0.0
18,285.6,0.0
19,107.9,0.0
20,122.6,0.0
21,110.3,0.0
22,201.1,0.0
23,180.5,0.0